Entry 1
First-principles (PBE) data for a relaxed Li6CuPd crystal, as listed in the Alexandria database.

Results
Spin magnetization ... 0.00 μB per formula unit
Space-group type ... P-1

Cell: 4.9475 4.9479 4.9519 Å, 90.85 91.09 91.25°
With the nearest neighbours (Å) after each atom.
Atoms (fractional coordinates):
Li1 0.0010 0.0011 0.2471  2 Li 2.45-2.50
Li2 0.2474 0.5009 0.5013  2 Li 2.45-2.50
Li3 0.4986 0.2528 0.9998  2 Li 2.45-2.50
Li4 0.5014 0.7472 0.0002  2 Li 2.45-2.50
Li5 0.7526 0.4991 0.4987  2 Li 2.45-2.50
Li6 0.9990 0.9989 0.7529  2 Li 2.45-2.50
Cu1 0.5000 0.0000 0.5000  12 Li 2.74-2.80
Pd1 0.0000 0.5000 0.0000  12 Li 2.74-2.78



Entry 2
First-principles (PBE) data for a relaxed Li6CuPd crystal, as listed in the Alexandria database.

Results
Spin magnetization ... 0.00 μB per formula unit
Space-group type ... I4/mmm

Cell: 8.7231 8.7231 8.7231 Å, 153.77 153.77 37.43°
With the nearest neighbours (Å) after each atom.
Atoms (fractional coordinates):
Li1 0.1040 0.6040 0.5000  2 Pd 2.62, 2 Cu 2.62, 4 Li 2.80
Li2 0.2477 0.2477 0.0000  8 Li 2.80-3.09
Li3 0.3960 0.8960 0.5000  2 Cu 2.62, 2 Pd 2.62, 4 Li 2.80
Li4 0.6040 0.1040 0.5000  2 Pd 2.62, 2 Cu 2.62, 4 Li 2.80
Li5 0.7523 0.7523 0.0000  8 Li 2.80-3.09
Li6 0.8960 0.3960 0.5000  2 Cu 2.62, 2 Pd 2.62, 4 Li 2.80
Cu1 0.5000 0.5000 0.0000  8 Li 2.62, 4 Pd 2.80
Pd1 0.0000 0.0000 0.0000  8 Li 2.62, 4 Cu 2.80



Which of them is the most stable? Correct choice: entry 2.



Entry 1
First-principles (PBE) data for a relaxed Li4Cu2Pd3 crystal, as listed in the Alexandria database.

Results
Spin magnetization ... 0.00 μB per formula unit
Space-group type ... C2/m

Cell: 4.8665 4.8665 9.8238 Å, 107.40 107.40 34.70°
With the nearest neighbours (Å) after each atom.
Atoms (fractional coordinates):
Li1 0.0286 0.0286 0.3560  5 Pd 2.59-2.65, 2 Cu 2.60, 2 Li 2.82
Li2 0.3390 0.3390 0.1220  3 Cu 2.55-2.83, 2 Pd 2.63, 4 Li 2.82-2.85
Li3 0.6610 0.6610 0.8780  3 Cu 2.55-2.83, 2 Pd 2.63, 4 Li 2.82-2.85
Li4 0.9714 0.9714 0.6440  5 Pd 2.59-2.65, 2 Cu 2.60, 2 Li 2.82
Cu1 0.3402 0.3402 0.7911  5 Li 2.55-2.83, 4 Pd 2.57-2.58
Cu2 0.6598 0.6598 0.2089  5 Li 2.55-2.83, 4 Pd 2.57-2.58
Pd1 0.0000 0.0000 0.0000  4 Cu 2.57, 4 Li 2.63
Pd2 0.3260 0.3260 0.4162  2 Cu 2.58, 5 Li 2.59-2.65, 2 Pd 2.87
Pd3 0.6740 0.6740 0.5838  2 Cu 2.58, 5 Li 2.59-2.65, 2 Pd 2.87



Entry 2
First-principles (PBE) data for a relaxed Li4Cu2Pd3 crystal, as listed in the Alexandria database.

Results
Spin magnetization ... 0.00 μB per formula unit
Space-group type ... P-1

Cell: 4.5691 4.6284 6.8414 Å, 80.82 76.99 60.80°
With the nearest neighbours (Å) after each atom.
Atoms (fractional coordinates):
Li1 0.1722 0.1547 0.0017  5 Li 2.60-2.79, 5 Pd 2.63-2.70, 2 Cu 2.71-2.77
Li2 0.2764 0.5064 0.6636  5 Pd 2.61-2.71, 4 Cu 2.63-2.75, 3 Li 2.66-2.79
Li3 0.7236 0.4936 0.3364  5 Pd 2.61-2.71, 4 Cu 2.63-2.75, 3 Li 2.66-2.79
Li4 0.8278 0.8453 0.9983  5 Li 2.60-2.79, 5 Pd 2.63-2.70, 2 Cu 2.71-2.77
Cu1 0.3904 0.1646 0.3367  1 Cu 2.60, 6 Li 2.63-2.77, 5 Pd 2.65-2.68
Cu2 0.6096 0.8354 0.6633  1 Cu 2.60, 6 Li 2.63-2.77, 5 Pd 2.65-2.68
Pd1 0.0550 0.8251 0.3340  6 Li 2.61-2.70, 4 Cu 2.65-2.68, 2 Pd 2.76-2.81
Pd2 0.5000 0.5000 0.0000  8 Li 2.65-2.71, 2 Cu 2.66, 2 Pd 2.76
Pd3 0.9450 0.1749 0.6660  6 Li 2.61-2.70, 4 Cu 2.65-2.68, 2 Pd 2.76-2.81



Which of them is the most stable? Correct choice: entry 2.



Entry 1
First-principles (PBE) data for a relaxed LiCu4Pd crystal, as listed in the Alexandria database.

Results
Spin magnetization ... 0.00 μB per formula unit
Space-group type ... F-43m

Cell: 4.8375 4.8375 4.8375 Å, 60.00 60.00 60.00°
With the nearest neighbours (Å) after each atom.
Atoms (fractional coordinates):
Li1 0.0000 0.0000 0.0000  12 Cu 2.84, 4 Pd 2.96
Cu1 0.1247 0.6251 0.6251  6 Cu 2.42
Cu2 0.6251 0.1247 0.6251  6 Cu 2.42
Cu3 0.6251 0.6251 0.1247  6 Cu 2.42
Cu4 0.6251 0.6251 0.6251  6 Cu 2.42
Pd1 0.2500 0.2500 0.2500  12 Cu 2.84, 4 Li 2.96



Entry 2
First-principles (PBE) data for a relaxed LiCu4Pd crystal, as listed in the Alexandria database.

Results
Spin magnetization ... 0.00 μB per formula unit
Space-group type ... C2/m

Cell: 4.2402 4.2402 4.9436 Å, 92.01 92.01 120.87°
With the nearest neighbours (Å) after each atom.
Atoms (fractional coordinates):
Li1 0.0000 0.0000 0.0000  2 Pd 2.47, 8 Cu 2.63-2.75
Cu1 0.3247 0.6576 0.2494  5 Cu 2.43-2.47, 1 Li 2.63, 1 Pd 2.68
Cu2 0.3424 0.6753 0.7506  5 Cu 2.43-2.47, 1 Li 2.63, 1 Pd 2.68
Cu3 0.6576 0.3247 0.2494  5 Cu 2.43-2.47, 1 Li 2.63, 1 Pd 2.68
Cu4 0.6753 0.3424 0.7506  5 Cu 2.43-2.47, 1 Li 2.63, 1 Pd 2.68
Pd1 0.0000 0.0000 0.5000  2 Li 2.47, 12 Cu 2.68-2.76



Entry 3
First-principles (PBE) data for a relaxed LiCu4Pd crystal, as listed in the Alexandria database.

Results
Spin magnetization ... 0.00 μB per formula unit
Space-group type ... Cmmm

Cell: 5.9405 5.9405 3.6646 Å, 90.00 90.00 144.38°
With the nearest neighbours (Å) after each atom.
Atoms (fractional coordinates):
Li1 0.0000 0.0000 0.0000  4 Pd 2.58, 8 Cu 2.65-2.67
Cu1 0.1720 0.8280 0.5000  8 Cu 2.53-2.58, 2 Pd 2.66, 2 Li 2.67
Cu2 0.3293 0.6707 0.0000  8 Cu 2.55-2.58, 2 Li 2.65, 2 Pd 2.66
Cu3 0.6707 0.3293 0.0000  8 Cu 2.55-2.58, 2 Li 2.65, 2 Pd 2.66
Cu4 0.8280 0.1720 0.5000  8 Cu 2.53-2.58, 2 Pd 2.66, 2 Li 2.67
Pd1 0.5000 0.5000 0.5000  4 Li 2.58, 8 Cu 2.66



Which of them is the most stable? Correct choice: entry 3.



Entry 1
First-principles (PBE) data for a relaxed LiCu2Pd3 crystal, as listed in the Alexandria database.

Results
Spin magnetization ... 0.00 μB per formula unit
Space-group type ... Cmmm

Cell: 6.7312 6.7312 6.0398 Å, 90.00 90.00 143.17°
With the nearest neighbours (Å) after each atom.
Atoms (fractional coordinates):
Li1 0.1643 0.8357 0.0000  8 Pd 2.58-2.63
Li2 0.8357 0.1643 0.0000  8 Pd 2.58-2.63
Cu1 0.1683 0.8317 0.5000  8 Pd 2.60-2.63
Cu2 0.5000 0.5000 0.0000  8 Pd 2.60-2.61
Cu3 0.5000 0.5000 0.5000  8 Pd 2.61-2.62
Cu4 0.8317 0.1683 0.5000  8 Pd 2.60-2.63
Pd1 0.0000 0.0000 0.2496  2 Li 2.58, 6 Cu 2.61-2.63
Pd2 0.0000 0.0000 0.7504  2 Li 2.58, 6 Cu 2.61-2.63
Pd3 0.3334 0.6666 0.2477  3 Li 2.60-2.63, 5 Cu 2.60-2.62
Pd4 0.3334 0.6666 0.7523  3 Li 2.60-2.63, 5 Cu 2.60-2.62
Pd5 0.6666 0.3334 0.2477  3 Li 2.60-2.63, 5 Cu 2.60-2.62
Pd6 0.6666 0.3334 0.7523  3 Li 2.60-2.63, 5 Cu 2.60-2.62



Entry 2
First-principles (PBE) data for a relaxed LiCu2Pd3 crystal, as listed in the Alexandria database.

Results
Spin magnetization ... 0.00 μB per formula unit
Space-group type ... Immm

Cell: 7.8281 7.8281 7.8281 Å, 160.18 146.73 39.03°
With the nearest neighbours (Å) after each atom.
Atoms (fractional coordinates):
Li1 0.0000 0.0000 0.0000  2 Pd 2.24
Cu1 0.3535 0.3535 0.0000  7 Pd 2.52-2.67, 2 Cu 2.69
Cu2 0.6465 0.6465 0.0000  7 Pd 2.52-2.67, 2 Cu 2.69
Pd1 0.1829 0.1829 0.0000  5 Cu 2.52-2.67, 2 Pd 2.69, 1 Li 2.70
Pd2 0.5000 0.0000 0.5000  2 Li 2.24
Pd3 0.8171 0.8171 0.0000  5 Cu 2.52-2.67, 2 Pd 2.69, 1 Li 2.70



Which of them is the most stable? Correct choice: entry 1.



Entry 1
First-principles (PBE) data for a relaxed LiCu3Pd2 crystal, as listed in the Alexandria database.

Results
Spin magnetization ... 0.00 μB per formula unit
Space-group type ... Cmcm

Cell: 5.8725 5.8725 4.8798 Å, 90.00 90.00 97.51°
With the nearest neighbours (Å) after each atom.
Atoms (fractional coordinates):
Li1 0.0391 0.9609 0.7500  1 Cu 2.39, 2 Li 2.54
Li2 0.9609 0.0391 0.2500  1 Cu 2.39, 2 Li 2.54
Cu1 0.3098 0.6902 0.7500  1 Li 2.39, 4 Cu 2.50, 2 Pd 2.57
Cu2 0.3203 0.3203 0.0000  4 Cu 2.44-2.50, 4 Pd 2.64-2.66
Cu3 0.3203 0.3203 0.5000  4 Cu 2.44-2.50, 4 Pd 2.64-2.66
Cu4 0.6797 0.6797 0.0000  4 Cu 2.44-2.50, 4 Pd 2.64-2.66
Cu5 0.6797 0.6797 0.5000  4 Cu 2.44-2.50, 4 Pd 2.64-2.66
Cu6 0.6902 0.3098 0.2500  1 Li 2.39, 4 Cu 2.50, 2 Pd 2.57
Pd1 0.0623 0.5931 0.2500  7 Cu 2.57-2.86, 3 Pd 2.67-2.73, 1 Li 2.76
Pd2 0.4069 0.9377 0.2500  7 Cu 2.57-2.86, 3 Pd 2.67-2.73, 1 Li 2.76
Pd3 0.5931 0.0623 0.7500  7 Cu 2.57-2.86, 3 Pd 2.67-2.73, 1 Li 2.76
Pd4 0.9377 0.4069 0.7500  7 Cu 2.57-2.86, 3 Pd 2.67-2.73, 1 Li 2.76



Entry 2
First-principles (PBE) data for a relaxed LiCu3Pd2 crystal, as listed in the Alexandria database.

Results
Spin magnetization ... 0.00 μB per formula unit
Space-group type ... C2/m

Cell: 5.9239 5.9239 3.7663 Å, 90.12 90.12 143.12°
With the nearest neighbours (Å) after each atom.
Atoms (fractional coordinates):
Li1 0.0000 0.0000 0.0000  4 Pd 2.59, 8 Cu 2.65-2.67
Cu1 0.1681 0.8319 0.5000  4 Cu 2.63-2.66, 6 Pd 2.65-2.71, 2 Li 2.67
Cu2 0.5000 0.5000 0.5000  4 Pd 2.59, 4 Li 2.65-2.66, 4 Cu 2.66
Cu3 0.8319 0.1681 0.5000  4 Cu 2.63-2.66, 6 Pd 2.65-2.71, 2 Li 2.67
Pd1 0.3412 0.6588 0.0000  2 Li 2.59, 8 Cu 2.59-2.71, 2 Pd 2.78
Pd2 0.6588 0.3412 0.0000  2 Li 2.59, 8 Cu 2.59-2.71, 2 Pd 2.78



Which of them is the most stable? Correct choice: entry 2.



Entry 1
First-principles (PBE) data for a relaxed Li4CuPd7 crystal, as listed in the Alexandria database.

Results
Spin magnetization ... 0.00 μB per formula unit
Space-group type ... P-1

Cell: 4.8603 4.9385 7.7579 Å, 92.22 104.87 91.29°
With the nearest neighbours (Å) after each atom.
Atoms (fractional coordinates):
Li1 0.1284 0.2535 0.2496  2 Li 2.40-2.59, 3 Pd 2.54-2.64, 1 Cu 2.66
Li2 0.3716 0.6706 0.8054  2 Li 2.40-2.59, 3 Pd 2.59-2.64
Li3 0.6284 0.3294 0.1946  2 Li 2.40-2.59, 3 Pd 2.59-2.64
Li4 0.8716 0.7465 0.7504  2 Li 2.40-2.59, 3 Pd 2.54-2.64, 1 Cu 2.66
Cu1 0.5000 0.0000 0.5000  4 Pd 2.47-2.55, 2 Li 2.66
Pd1 0.0374 0.2580 0.5863  6 Pd 2.73-2.83, 4 Li 2.76-3.06, 2 Cu 2.79-2.82
Pd2 0.2146 0.1263 0.9349  4 Li 2.60-2.64, 5 Pd 2.66-2.83
Pd3 0.3374 0.7630 0.1911  1 Cu 2.55, 3 Li 2.59-2.79, 5 Pd 2.66-2.82
Pd4 0.5000 0.5000 0.5000  2 Cu 2.47, 4 Li 2.54-2.71, 4 Pd 2.71-2.76
Pd5 0.6626 0.2370 0.8089  1 Cu 2.55, 3 Li 2.59-2.79, 5 Pd 2.66-2.82
Pd6 0.7854 0.8737 0.0651  4 Li 2.60-2.64, 5 Pd 2.66-2.83
Pd7 0.9626 0.7420 0.4137  6 Pd 2.73-2.83, 4 Li 2.76-3.06, 2 Cu 2.79-2.82



Entry 2
First-principles (PBE) data for a relaxed Li4CuPd7 crystal, as listed in the Alexandria database.

Results
Spin magnetization ... 0.00 μB per formula unit
Space-group type ... C2/m

Cell: 6.4932 6.4932 7.4391 Å, 120.97 120.97 42.47°
With the nearest neighbours (Å) after each atom.
Atoms (fractional coordinates):
Li1 0.0503 0.0503 0.2145  4 Pd 2.42-2.66, 1 Li 2.61
Li2 0.1850 0.1850 0.8530  3 Pd 2.33-2.45, 1 Li 2.61
Li3 0.8150 0.8150 0.1470  3 Pd 2.33-2.45, 1 Li 2.61
Li4 0.9497 0.9497 0.7855  4 Pd 2.42-2.66, 1 Li 2.61
Cu1 0.5000 0.5000 0.5000  4 Pd 2.35-2.52
Pd1 0.0000 0.0000 0.5000  4 Li 2.33-2.51, 2 Cu 2.35
Pd2 0.2533 0.2533 0.2238  4 Li 2.40-2.62, 1 Cu 2.52
Pd3 0.2922 0.2922 0.6256  4 Li 2.64-2.84, 7 Pd 2.76-2.87
Pd4 0.4274 0.4274 0.0872  3 Li 2.45-2.66, 1 Cu 2.69, 1 Pd 2.70
Pd5 0.5726 0.5726 0.9128  3 Li 2.45-2.66, 1 Cu 2.69, 1 Pd 2.70
Pd6 0.7078 0.7078 0.3744  4 Li 2.64-2.84, 7 Pd 2.76-2.87
Pd7 0.7467 0.7467 0.7762  4 Li 2.40-2.62, 1 Cu 2.52



Which of them is the most stable? Correct choice: entry 1.